1.
Entry from the Alexandria database: an optimized crystal structure of GaTcAs2Br (PBE).

## Properties
- uncorrected formation energy (meV per atom) = 242.1
- symmetry = No. 123

Lattice parameters (Å, degrees): 4.7394 4.7394 5.6741 90.00 90.00 90.00
Closest atoms and distances in Å follow each position.
Atoms (fractional coordinates):
Ga (0.0000, 0.0000, 0.0000)  4 Br 3.35, 8 As 3.70
Tc (0.5000, 0.5000, 0.5000)  4 As 2.37
As (0.0000, 0.5000, 0.5000)  2 Tc 2.37
As (0.5000, 0.0000, 0.5000)  2 Tc 2.37
Br (0.5000, 0.5000, 0.0000)  2 Tc 2.84

***

2.
Entry from the Alexandria database: an optimized crystal structure of GaTeAsBr2 (PBE).

## Properties
- uncorrected formation energy (meV per atom) = 199.3
- symmetry = No. 123

Lattice parameters (Å, degrees): 4.9842 4.9842 5.5524 90.00 90.00 90.00
Closest atoms and distances in Å follow each position.
Atoms (fractional coordinates):
Ga (0.0000, 0.0000, 0.0000)  4 Br 2.49, 2 As 2.78
Te (0.5000, 0.5000, 0.5000)  4 As 3.52, 8 Br 3.73
As (0.0000, 0.0000, 0.5000)  2 Ga 2.78
Br (0.0000, 0.5000, 0.0000)  2 Ga 2.49
Br (0.5000, 0.0000, 0.0000)  2 Ga 2.49

***

3.
Entry from the Alexandria database: an optimized crystal structure of GaTeAsBr2 (PBE).

## Properties
- uncorrected formation energy (meV per atom) = 227.0
- symmetry = No. 123

Lattice parameters (Å, degrees): 5.9327 5.9327 5.1581 90.00 90.00 90.00
Closest atoms and distances in Å follow each position.
Atoms (fractional coordinates):
Ga (0.0000, 0.0000, 0.0000)  8 Br 3.93, 4 As 4.20
Te (0.5000, 0.5000, 0.5000)  2 As 2.58
As (0.5000, 0.5000, 0.0000)  2 Te 2.58
Br (0.0000, 0.5000, 0.5000)  2 Te 2.97
Br (0.5000, 0.0000, 0.5000)  2 Te 2.97

***

4.
Entry from the Alexandria database: an optimized crystal structure of GaTeAs2Br (PBE).

## Properties
- uncorrected formation energy (meV per atom) = 624.8
- symmetry = No. 123

Lattice parameters (Å, degrees): 5.3645 5.3645 5.8794 90.00 90.00 90.00
Closest atoms and distances in Å follow each position.
Atoms (fractional coordinates):
Ga (0.0000, 0.0000, 0.0000)  4 Br 3.79, 8 As 3.98
Te (0.5000, 0.5000, 0.5000)  4 As 2.68, 2 Br 2.94
As (0.0000, 0.5000, 0.5000)  2 Te 2.68
As (0.5000, 0.0000, 0.5000)  2 Te 2.68
Br (0.5000, 0.5000, 0.0000)  2 Te 2.94

***

no.,spin magnetization (μB per atom),polymorph energy (0 for the lowest one) (meV per atom),ρ (Mg/m³)
1,0.00,0.0,5.2
2,0.13,0.0,5.2
3,0.00,27.6,4.0
4,0.13,182.3,4.2